Li2ZrPt: optimized geometry, PBE.

Structure (CIF):
```
data_Li2ZrPt
_chemical_formula_sum 'Li8 Zr4 Pt4'
_space_group_name_H-M_alt 'I -4 2 d'
_space_group_IT_number 122
_space_group_name_Hall 'I -4 2bw'
_cell_length_a 3.8147
_cell_length_b 3.8147
_cell_length_c 20.3368
_cell_angle_alpha 90.00
_cell_angle_beta 90.00
_cell_angle_gamma 90.00
loop_
_atom_site_label
_atom_site_fract_x
_atom_site_fract_y
_atom_site_fract_z
Li1 0.2084 0.2500 0.1250
Zr1 0.0000 0.0000 0.5000
Pt1 0.0000 0.0000 0.0000
```

electronic total energy: -4.871 eV per atom
E above lowest polymorph: 192 meV per atom

=====

LiZr2Pt: optimized geometry, PBE.

Structure (CIF):
```
data_LiZr2Pt
_chemical_formula_sum 'Li4 Zr8 Pt4'
_space_group_name_H-M_alt 'I -4 2 d'
_space_group_IT_number 122
_space_group_name_Hall 'I -4 2bw'
_cell_length_a 7.6129
_cell_length_b 7.6129
_cell_length_c 5.6619
_cell_angle_alpha 90.00
_cell_angle_beta 90.00
_cell_angle_gamma 90.00
loop_
_atom_site_label
_atom_site_fract_x
_atom_site_fract_y
_atom_site_fract_z
Li1 0.0000 0.0000 0.0000
Zr1 0.2245 0.2500 0.6250
Pt1 0.0000 0.0000 0.5000
```

electronic total energy: -6.394 eV per atom

=====

LiZrPt2: optimized geometry, PBE.

Structure (CIF):
```
data_LiZrPt2
_chemical_formula_sum 'Li2 Zr2 Pt4'
_space_group_name_H-M_alt 'C 1 m 1'
_space_group_IT_number 8
_space_group_name_Hall 'C -2y'
_cell_length_a 9.7429
_cell_length_b 2.8703
_cell_length_c 4.8874
_cell_angle_alpha 90.00
_cell_angle_beta 98.84
_cell_angle_gamma 90.00
loop_
_atom_site_label
_atom_site_fract_x
_atom_site_fract_y
_atom_site_fract_z
Li1 0.0000 0.0000 0.0000
Zr1 0.2163 0.0000 0.6495
Pt1 0.2477 0.5000 0.1481
Pt2 0.4720 0.0000 0.4671
```

electronic total energy: -6.368 eV per atom
E above lowest polymorph: 167 meV per atom